# PmNdSbP PBE optimized geometry
data_PmNdSbP
_cell_length_a 4.2957
_cell_length_b 4.2957
_cell_length_c 21.4924
_cell_angle_alpha 90.00
_cell_angle_beta 90.00
_cell_angle_gamma 120.00
_space_group_name_H-M_alt 'R 3 m'
_space_group_IT_number 160
_space_group_name_Hall 'R 3 -2"'
loop_
_atom_site_label
_atom_site_type_symbol
_atom_site_fract_x
_atom_site_fract_y
_atom_site_fract_z
Pm1 Pm 0.0000 0.0000 0.0000
Nd1 Nd 0.0000 0.0000 0.4844
Sb1 Sb 0.0000 0.0000 0.2429
P1 P 0.0000 0.0000 0.7416
# Magnetization ... 0.00 μB/cell
# Electronic total energy ... -73.2 eV for the cell shown
# Formation energy (no corrections) ... -1.340 eV/atom
# Density of states at the Fermi level ... 2.47 states/eV/cell